Entry 1:
Tb3RuCl3 | PBE-GGA | relaxed

The total energy comes out at -5.563 eV per atom. The raw formation energy is -10.24 eV/f.u. The total magnetization comes out at 0.00 μB/f.u.

It has space group P2_1/m (No. 11), with a = 8.337 Å, b = 4.039 Å, c = 11.707 Å, α = 90.00°, β = 90.82° and γ = 90.00°. The inequivalent atoms are Tb at (0.100, 0.250, 0.169), Tb at (0.152, 0.250, 0.643), Tb at (0.277, 0.750, 0.400), Ru at (0.053, 0.250, 0.403), Cl at (0.119, 0.250, 0.905), Cl at (0.324, 0.750, 0.153) and Cl at (0.439, 0.750, 0.625).

=====

Entry 2:
PrDy6Sc6 | PBE-GGA | relaxed

The total energy comes out at -5.190 eV per atom. The energy of formation is 224 meV per atom. The total magnetization comes out at 1.07 μB/f.u.

It has space group P6/mmm (No. 191), with a = 6.4201 Å, b = 6.4201 Å, c = 10.9318 Å, α = 90.00°, β = 90.00° and γ = 120.00°. The inequivalent atoms are Pr at (0.0000, 0.0000, 0.0000), Dy at (0.0000, 0.0000, 0.3421), Dy at (0.3333, 0.6667, 0.0000), Dy at (0.3333, 0.6667, 0.5000) and Sc at (0.0000, 0.5000, 0.2435).

=====

Entry 3:
EuGdZn2 | PBE-GGA | relaxed

The total energy comes out at -7.011 eV per atom. The energy of formation is -285 meV per atom. The total magnetization comes out at 14.32 μB/f.u.

It has space group P4/mmm (No. 123), with a = 5.189 Å, b = 5.189 Å, c = 3.668 Å, α = 90.00°, β = 90.00° and γ = 90.00°. The inequivalent atoms are Eu at (0.000, 0.000, 0.000), Gd at (0.500, 0.500, 0.000) and Zn at (0.000, 0.500, 0.500).

=====

Entry 4:
SbTe4 | PBE-GGA | relaxed

The total energy comes out at -2.698 eV per atom. The polymorph energy (0 for the lowest one) comes out at 0.469 eV/atom. The raw formation energy is 3.20 eV/f.u. The total magnetization comes out at 0.00 μB/f.u.

It has space group Pm-3m (No. 221), with a = 5.715 Å, b = 5.715 Å, c = 5.715 Å, α = 90.00°, β = 90.00° and γ = 90.00°. The inequivalent atoms are Sb at (0.000, 0.000, 0.000), Te at (0.000, 0.000, 0.500) and Te at (0.500, 0.500, 0.500).

=====

Entry 5:
Nd2TcWN6 | PBE-GGA | relaxed

The total energy comes out at -8.976 eV per atom. The raw formation energy is -6.95 eV/f.u. The total magnetization comes out at 0.00 μB/f.u.

It has space group P2_1/c (No. 14), with a = 5.605 Å, b = 5.628 Å, c = 9.652 Å, α = 90.00°, β = 125.34° and γ = 90.00°. The inequivalent atoms are Nd at (0.244, 0.035, 0.250), Tc at (0.000, 0.000, 0.500), W at (0.500, 0.000, 0.000), N at (0.181, 0.217, 0.963), N at (0.244, 0.717, 0.964) and N at (0.317, 0.009, 0.749).

=====

Entry 6:
NpBiPbO6 | PBE-GGA | relaxed

The total energy comes out at -7.469 eV per atom. The raw formation energy is -16.94 eV/f.u. The total magnetization comes out at 0.07 μB/f.u.

It has space group P4_2nm (No. 102), with a = 5.270 Å, b = 5.270 Å, c = 11.219 Å, α = 90.00°, β = 90.00° and γ = 90.00°. The inequivalent atoms are Np at (0.000, 0.000, 0.000), Bi at (0.000, 0.000, 0.354), Pb at (0.000, 0.000, 0.660), O at (0.173, 0.173, 0.130), O at (0.183, 0.183, 0.872) and O at (0.202, 0.202, 0.493).

=====

Entry 7:
BaZrSbI2 | PBE-GGA | relaxed

The total energy comes out at -4.276 eV per atom. The polymorph energy (0 for the lowest one) comes out at 0.000 eV/atom. The raw formation energy is -3.68 eV/f.u. The total magnetization comes out at 0.23 μB/f.u.

It has space group P4/mmm (No. 123), with a = 5.758 Å, b = 5.758 Å, c = 5.732 Å, α = 90.00°, β = 90.00° and γ = 90.00°. The inequivalent atoms are Ba at (0.000, 0.000, 0.000), Zr at (0.500, 0.500, 0.500), Sb at (0.500, 0.500, 0.000) and I at (0.000, 0.500, 0.500).

=====

Entry 8:
La2PrDy3As6 | PBE-GGA | relaxed

The total energy comes out at -6.227 eV per atom. The energy of formation is -1533 meV per atom. The total magnetization comes out at 0.00 μB/f.u.

It has space group C2/m (No. 12), with a = 18.459 Å, b = 4.240 Å, c = 8.469 Å, α = 90.00°, β = 103.19° and γ = 90.00°. The inequivalent atoms are La at (0.166, 0.000, 0.333), Pr at (0.000, 0.500, 0.000), Dy at (0.000, 0.500, 0.500), Dy at (0.167, 0.000, 0.834), As at (0.003, 0.000, 0.744), As at (0.164, 0.500, 0.591) and As at (0.169, 0.500, 0.075).